A plane-wave DFT calculation with PBE-GGA was carried out for a geometry-optimized SrSiHgRh2 structure.

Properties
- volume (A^3/atom) = 27.40
- formation energy (no corrections) (kJ per mole of atoms) = 155.1
- size of the total moment (μB/cell) = 0.00

Cell: 4.9860 5.5114 4.9860 Å, 90.00 90.00 90.00°
Fractional coordinates of all 5 atoms:
Hg 0.5000 0.5000 0.5000
Rh 0.5000 0.0000 0.0000
Rh 0.0000 0.0000 0.5000
Si 0.0000 0.5000 0.0000
Sr 0.0000 0.0000 0.0000